Entry 1:
# Nd7Y2Mg2

A relaxed structure of Nd7Y2Mg2 (GGA-PBE, the Alexandria database).

a b c (Å): 10.0413 11.9931 6.7558
angles (deg): 90.00 114.67 90.00
Last column: nearest neighbours and their distance in Å.
Space group C2/m (No. 12)
Inequivalent atoms, fractional coordinates:
Nd 0.0000 0.0000 0.0000  2 Mg 3.31, 4 Nd 3.40
Nd 0.1596 0.5000 0.4701  3 Mg 3.34-3.42, 5 Nd 3.39-3.64, 2 Y 3.73
Nd 0.1773 0.2448 0.1988  2 Y 3.33-3.46, 1 Mg 3.38, 6 Nd 3.40-3.71
Y 0.0000 0.1384 0.5000  1 Y 3.32, 4 Nd 3.33-3.46
Mg 0.1644 0.5000 0.9790  6 Nd 3.31-3.42, 1 Mg 3.43

Properties
ΔH_f (0 K) in meV/atom: 174
Energy above the lowest structure with this stoichiometry in meV/atom: 65
Magnetization in μB per formula unit: 0.00

Entry 2:
# LiGePCO7

A relaxed structure of LiGePCO7 (GGA-PBE, the Alexandria database).

a b c (Å): 5.1330 6.1958 9.3154
angles (deg): 90.00 93.16 90.00
Last column: nearest neighbours and their distance in Å.
Space group P2_1 (No. 4)
Inequivalent atoms, fractional coordinates:
Li 0.2441 0.0000 0.3517  3 O 1.89-1.96
Ge 0.2150 0.6912 0.8506  6 O 1.86-1.97
P 0.2699 0.1892 0.9369  4 O 1.53-1.56
C 0.2768 0.7156 0.5970  3 O 1.23-1.34
O 0.0467 0.6977 0.6558  1 C 1.33
O 0.1161 0.1861 0.0749  1 P 1.54
O 0.2018 0.3850 0.8397  1 P 1.54
O 0.2078 0.9939 0.8397  1 P 1.53
O 0.3112 0.7554 0.4696  1 C 1.23
O 0.4331 0.6924 0.0168  1 P 1.56
O 0.4682 0.6886 0.6994  1 C 1.34

Properties
Raw formation energy in eV/atom: -1.7994
Magnetization in μB per formula unit: 0.06

Entry 3:
# Dy7Y2Tm2

A relaxed structure of Dy7Y2Tm2 (GGA-PBE, the Alexandria database).

a b c (Å): 11.2256 11.3523 6.0080
angles (deg): 90.00 113.20 90.00
Last column: nearest neighbours and their distance in Å.
Space group C2/m (No. 12)
Inequivalent atoms, fractional coordinates:
Dy 0.0000 0.0000 0.0000  6 Dy 3.23-3.47
Dy 0.1758 0.2337 0.1745  4 Dy 3.17-3.51, 2 Y 3.29-3.43
Dy 0.2348 0.0000 0.5874  5 Dy 3.33-3.51, 3 Tm 3.42-3.64, 2 Y 3.48
Y 0.0000 0.2159 0.5000  6 Dy 3.29-3.48, 2 Tm 3.64
Tm 0.0864 0.5000 0.8024  2 Tm 3.38-3.61, 7 Dy 3.42-3.73, 2 Y 3.64

Properties
ΔH_f (0 K) in meV/atom: 165
Magnetization in μB per formula unit: 0.00